A relaxed structure of Sc2Al2Ag. Source: Alexandria via LeMat-Bulk, functional GGA-PBE.

Unit cell a=6.785 b=6.785 c=4.306 alpha=90.00 beta=90.00 gamma=90.00
Sites, in units of the cell vectors:
Sc1 0.165 0.665 0.500
Sc2 0.665 0.835 0.500
Sc3 0.835 0.335 0.500
Sc4 0.335 0.165 0.500
Al1 0.364 0.864 0.000
Al2 0.864 0.636 0.000
Al3 0.636 0.136 0.000
Al4 0.136 0.364 0.000
Ag1 0.000 0.000 0.000
Ag2 0.500 0.500 0.000

## Properties
SG: P4/mbm
distance to the lowest polymorph of the same formula: 0.0 kJ per mole of atoms